Entry from Alexandria via LeMat-Bulk: a relaxed BaAc2Ga2 crystal (PBE).

The space group is P2_1/m (No. 11) and the conventional cell measures 5.729, 5.357 and 12.413 Å, with angles of 90.00, 94.23 and 90.00 degrees. The inequivalent atoms are Ba at (0.215, 0.250, 0.238), Ac at (0.245, 0.750, 0.497), Ac at (0.304, 0.250, 0.882), Ga at (0.168, 0.750, 0.009) and Ga at (0.280, 0.250, 0.632).

The density of states at the Fermi level is 0.60 states/eV per atom. The value obtained for the energy relative to the elements is -272 meV/atom.